Computed, not measured: crystalline MnPO2 at its relaxed geometry at the PBE with a Hubbard U level of DFT.

As for the raw total energy: -25.2 eV/cell. The value obtained for the size of the total moment is 1.9 Bohr magnetons per cell.

a = 6.2383 Å, b = 6.2383 Å, c = 6.2383 Å
α = 26.32°, β = 26.32°, γ = 26.32°
Fractional positions:
P1 0.0000 0.0000 0.0000
Mn1 0.5000 0.5000 0.5000
O1 0.8933 0.8933 0.8933
O2 0.1067 0.1067 0.1067